No. 1
A plane-wave DFT calculation with PBE was carried out for KCaRe2 after structural relaxation.

Values from the calculation:
- Final energy: -25.23 eV per formula unit
- ΔE to the lowest computed polymorph: 0.100 eV per atom
- SG: Cm (8)

abc: 4.363 4.363 9.046
angles: 86.75 86.75 42.99
Sites, in units of the cell vectors:
Ca  0.482  0.482  0.602
K  0.263  0.263  0.182
Re  0.020  0.020  0.902
Re  0.736  0.736  0.814


No. 2
A plane-wave DFT calculation with PBE was carried out for KCaRe2 after structural relaxation.

Values from the calculation:
- Final energy: -22.31 eV per formula unit
- ΔE to the lowest computed polymorph: 0.828 eV per atom
- SG: P4/mmm (123)

abc: 3.949 3.949 7.322
angles: 90.00 90.00 90.00
Sites, in units of the cell vectors:
Ca  0.500  0.500  0.250
K  0.500  0.500  0.750
Re  0.000  0.000  0.099
Re  0.000  0.000  0.401


No. 3
A plane-wave DFT calculation with PBE was carried out for KCaRe2 after structural relaxation.

Values from the calculation:
- Final energy: -25.62 eV per formula unit
- ΔE to the lowest computed polymorph: 0.000 eV per atom
- SG: P4mm (99)

abc: 3.220 3.220 10.123
angles: 90.00 90.00 90.00
Sites, in units of the cell vectors:
Ca  0.000  0.000  0.413
K  0.500  0.500  0.807
Re  0.000  0.000  0.081
Re  0.500  0.500  0.198


No. 4
A plane-wave DFT calculation with PBE was carried out for K2CaRe after structural relaxation.

Values from the calculation:
- Final energy: -11.25 eV per formula unit
- ΔE to the lowest computed polymorph: 0.329 eV per atom
- SG: F-43m (216)

abc: 5.749 5.749 5.749
angles: 120.00 120.00 90.01
Sites, in units of the cell vectors:
Ca  0.750  0.250  0.500
K  0.000  0.000  0.000
K  0.250  0.750  0.500
Re  0.500  0.500  0.000


No. 5
A plane-wave DFT calculation with PBE was carried out for KCaRe2 after structural relaxation.

Values from the calculation:
- Final energy: -23.12 eV per formula unit
- ΔE to the lowest computed polymorph: 0.625 eV per atom
- SG: C2/m (12)

abc: 6.078 5.446 2.732
angles: 74.88 83.81 112.92
Sites, in units of the cell vectors:
Ca  0.500  0.500  0.000
K  0.500  0.000  0.500
Re  0.000  0.000  0.000
Re  0.000  0.500  0.500


No. 6
A plane-wave DFT calculation with PBE was carried out for K2CaRe after structural relaxation.

Values from the calculation:
- Final energy: -12.57 eV per formula unit
- ΔE to the lowest computed polymorph: 0.000 eV per atom
- SG: Immm (71)

abc: 10.590 10.590 10.590
angles: 163.69 151.68 32.85
Sites, in units of the cell vectors:
Ca  0.250  0.750  0.500
K  0.902  0.902  0.000
K  0.598  0.598  0.000
Re  0.750  0.250  0.500


No. 7
A plane-wave DFT calculation with PBE was carried out for K2CaRe after structural relaxation.

Values from the calculation:
- Final energy: -11.16 eV per formula unit
- ΔE to the lowest computed polymorph: 0.353 eV per atom
- SG: R-3m (166)

abc: 13.419 13.419 13.419
angles: 13.70 13.70 13.70
Sites, in units of the cell vectors:
Ca  0.750  0.750  0.750
K  0.987  0.987  0.987
K  0.513  0.513  0.513
Re  0.250  0.250  0.250


No. 8
A plane-wave DFT calculation with PBE was carried out for K2CaRe after structural relaxation.

Values from the calculation:
- Final energy: -12.16 eV per formula unit
- ΔE to the lowest computed polymorph: 0.103 eV per atom
- SG: Cm (8)

abc: 5.321 5.321 9.544
angles: 87.78 87.78 32.33
Sites, in units of the cell vectors:
Ca  0.235  0.235  0.331
K  0.000  0.000  0.066
K  0.763  0.763  0.680
Re  0.501  0.501  0.423


No. 9
A plane-wave DFT calculation with PBE was carried out for KCaRe2 after structural relaxation.

Values from the calculation:
- Final energy: -23.19 eV per formula unit
- ΔE to the lowest computed polymorph: 0.610 eV per atom
- SG: Pmmm (47)

abc: 3.410 4.208 5.441
angles: 90.00 90.00 90.00
Sites, in units of the cell vectors:
Ca  0.500  0.000  0.500
K  0.000  0.500  0.500
Re  0.000  0.000  0.000
Re  0.500  0.500  0.000


No. 10
A plane-wave DFT calculation with PBE was carried out for K2CaRe after structural relaxation.

Values from the calculation:
- Final energy: -11.18 eV per formula unit
- ΔE to the lowest computed polymorph: 0.348 eV per atom
- SG: I4/mmm (139)

abc: 6.981 6.981 6.981
angles: 140.37 140.37 57.29
Sites, in units of the cell vectors:
Ca  0.750  0.250  0.500
K  0.000  0.000  0.000
K  0.500  0.500  0.000
Re  0.250  0.750  0.500


No. 11
A plane-wave DFT calculation with PBE was carried out for KCaTiRe2 after structural relaxation.

Values from the calculation:
- Final energy: -22.75 eV per formula unit
- SG: P4/mmm (123)

abc: 4.817 4.843 4.817
angles: 90.00 90.00 90.00
Sites, in units of the cell vectors:
Re  0.000  0.000  0.500
Re  0.500  0.000  0.000
Ca  0.000  0.000  0.000
K  0.000  0.500  0.000
Ti  0.500  0.500  0.500


No. 12
A plane-wave DFT calculation with PBE was carried out for KCa3Rh after structural relaxation.

Values from the calculation:
- Final energy: -15.36 eV per formula unit
- ΔE to the lowest computed polymorph: 0.009 eV per atom
- SG: P1 (1)

abc: 14.929 3.975 6.632
angles: 107.26 85.81 97.88
Sites, in units of the cell vectors:
K  0.651  0.005  0.346
K  0.804  0.810  0.818
Rh  0.074  0.080  0.084
Rh  0.381  0.737  0.079
Ca  0.269  0.078  0.876
Ca  0.952  0.605  0.262
Ca  0.504  0.212  0.902
Ca  0.395  0.409  0.411
Ca  0.186  0.739  0.288
Ca  0.060  0.408  0.753